# 1
First-principles (GGA-PBE) data for DyPaPS after structural relaxation, as listed in Alexandria.

The energy comes out at -7.42 eV/atom. As for the total magnetic moment: 0.16 μB/atom.

It has space group R3m (No. 160, hexagonal axes), with a = 3.8285 Å, b = 3.8285 Å, c = 20.9729 Å, α = 90.00°, β = 90.00° and γ = 120.00°. The distinct sites, in fractional coordinates, are Dy at (0.0000, 0.0000, 0.0000), Pa at (0.0000, 0.0000, 0.1781), P at (0.0000, 0.0000, 0.5894) and S at (0.0000, 0.0000, 0.7566).

# 2
First-principles (GGA-PBE) data for Dy2ScPaP4 after structural relaxation, as listed in Alexandria.

The energy comes out at -7.34 eV/atom. As for the total magnetic moment: 0.00 μB/atom.

It has space group P2/m (No. 10), with a = 6.7809 Å, b = 3.9483 Å, c = 6.8370 Å, α = 90.00°, β = 109.46° and γ = 90.00°. The distinct sites, in fractional coordinates, are Dy at (0.0000, 0.0000, 0.0000), Dy at (0.5000, 0.5000, 0.0000), Sc at (0.0000, 0.5000, 0.5000), Pa at (0.5000, 0.0000, 0.5000), P at (0.2427, 0.0000, 0.7375) and P at (0.2473, 0.5000, 0.2575).